Entry 1:
First-principles (GGA-PBE) data for a geometry-optimized CsRb2HgPb structure, as listed in Alexandria via LeMat-Bulk.

abc: 7.270 7.270 6.081
angles: 90.00 90.00 90.00
Atoms (fractional coordinates):
Cs  0.000  0.000  0.000
Rb  0.000  0.500  0.500
Rb  0.500  0.000  0.500
Hg  0.500  0.500  0.000
Pb  0.500  0.500  0.500

Results
The calculation puts the total magnetization at 0.022 μB per atom. The calculation puts the energy at -0.0504 hartree per atom. The value obtained for the energy above the most stable polymorph in this dataset is 31.9 meV per atom. The space-group type is P4/mmm (123).

***

Entry 2:
First-principles (GGA-PBE) data for a geometry-optimized ZrNi5B structure, as listed in Alexandria via LeMat-Bulk.

abc: 3.589 3.589 6.346
angles: 90.00 90.00 90.00
Atoms (fractional coordinates):
Zr  0.000  0.000  0.000
Ni  0.000  0.500  0.312
Ni  0.000  0.500  0.688
Ni  0.500  0.000  0.312
Ni  0.500  0.000  0.688
Ni  0.500  0.500  0.000
B  0.500  0.500  0.500

Results
The calculation puts the total magnetization at 0.000 μB per atom. The calculation puts the energy at -0.2430 hartree per atom. The space-group type is P4/mmm (123).

***

Entry 3:
First-principles (GGA-PBE) data for a geometry-optimized DyGa2Pd2 structure, as listed in Alexandria via LeMat-Bulk.

abc: 6.037 6.037 6.037
angles: 139.23 139.23 59.02
Atoms (fractional coordinates):
Dy  0.000  0.000  0.000
Ga  0.381  0.381  0.000
Ga  0.619  0.619  0.000
Pd  0.250  0.750  0.500
Pd  0.750  0.250  0.500

Results
The calculation puts the total magnetization at 0.000 μB per atom. The calculation puts the energy at -0.1827 hartree per atom. The space-group type is I4/mmm (139).

***

Entry 4:
First-principles (GGA-PBE) data for a geometry-optimized NaZr2Pb2 structure, as listed in Alexandria via LeMat-Bulk.

abc: 7.434 7.434 7.434
angles: 143.52 143.52 52.55
Atoms (fractional coordinates):
Na  0.000  0.000  0.000
Zr  0.400  0.400  0.000
Zr  0.600  0.600  0.000
Pb  0.250  0.750  0.500
Pb  0.750  0.250  0.500

Results
The calculation puts the total magnetization at 0.000 μB per atom. The calculation puts the energy at -0.1739 hartree per atom. The value obtained for the energy above the most stable polymorph in this dataset is 478.5 meV per atom. The space-group type is I4/mmm (139).

***

Entry 5:
First-principles (GGA-PBE) data for a geometry-optimized CsAl3Si structure, as listed in Alexandria via LeMat-Bulk.

abc: 5.230 5.230 5.230
angles: 90.00 90.00 90.00
Atoms (fractional coordinates):
Cs  0.000  0.000  0.000
Al  0.000  0.500  0.500
Al  0.500  0.000  0.500
Al  0.500  0.500  0.000
Si  0.500  0.500  0.500

Results
The calculation puts the total magnetization at 0.000 μB per atom. The calculation puts the energy at -0.1065 hartree per atom. The value obtained for the energy above the most stable polymorph in this dataset is 0.0 meV per atom. The space-group type is Pm-3m (221). The calculation puts the formation energy without anion corrections at 603 meV per atom.

***

Entry 6:
First-principles (GGA-PBE) data for a geometry-optimized SrZnInGa2 structure, as listed in Alexandria via LeMat-Bulk.

abc: 6.541 6.541 6.541
angles: 139.97 139.81 58.02
Atoms (fractional coordinates):
Sr  0.000  0.000  0.000
Zn  0.389  0.389  0.000
In  0.251  0.751  0.500
Ga  0.607  0.607  0.000
Ga  0.752  0.252  0.500

Results
The calculation puts the total magnetization at 0.000 μB per atom. The calculation puts the energy at -0.0995 hartree per atom. The space-group type is Imm2 (44).

***

Entry 7:
First-principles (GGA-PBE) data for a geometry-optimized AgPd2Pt structure, as listed in Alexandria via LeMat-Bulk.

abc: 4.917 4.917 2.795
angles: 90.00 90.00 109.75
Atoms (fractional coordinates):
Ag  0.000  0.000  0.000
Pd  0.000  0.500  0.500
Pd  0.500  0.000  0.500
Pt  0.500  0.500  0.000

Results
The calculation puts the total magnetization at 0.000 μB per atom. The calculation puts the energy at -0.1786 hartree per atom. The value obtained for the energy above the most stable polymorph in this dataset is 0.0 meV per atom. The space-group type is Cmmm (65).

***

Entry 8:
First-principles (GGA-PBE) data for a geometry-optimized K4DyNp3Te8 structure, as listed in Alexandria via LeMat-Bulk.

abc: 9.142 9.142 9.760
angles: 118.00 118.00 59.81
Atoms (fractional coordinates):
K  0.000  0.000  0.000
K  0.000  0.500  0.000
K  0.500  0.000  0.000
K  0.500  0.500  0.000
Dy  0.000  0.000  0.500
Np  0.000  0.500  0.500
Np  0.500  0.000  0.500
Np  0.500  0.500  0.500
Te  0.234  0.234  0.709
Te  0.234  0.741  0.711
Te  0.259  0.766  0.289
Te  0.262  0.262  0.290
Te  0.738  0.738  0.710
Te  0.741  0.234  0.711
Te  0.766  0.259  0.289
Te  0.766  0.766  0.291

Results
The calculation puts the total magnetization at 0.249 μB per atom. The calculation puts the energy at -0.2044 hartree per atom. The space-group type is C2/m (12). The calculation puts the formation energy without anion corrections at -1004 meV per atom.

***

Look up the total magnetization of the first one. 0.022 μB per atom